Entry from Alexandria via LeMat-Bulk: a geometry-optimized KCrTe2 structure (GGA-PBEsol).

Calculated values
ΔE_f (raw): -129 meV/atom
V: 26.232 A^3/atom
space group: P4/mmm, No. 123
final energy: -18.9 eV per cell

a b c (Å): 3.542 3.542 8.363
angles (deg): 90.00 90.00 90.00
Each line ends with the local moment (μB).
Fractional coordinates of all 4 atoms:
1 Te 0.000 0.000 0.804  -0.16
2 K 0.500 0.500 0.500  0.01
3 Te 0.000 0.000 0.196  -0.16
4 Cr 0.500 0.500 0.000  3.42



Entry from Alexandria via LeMat-Bulk: a geometry-optimized Cd2AsS structure (GGA-PBEsol).

Calculated values
ΔE_f (raw): -126 meV/atom
V: 26.037 A^3/atom
space group: I-42d, No. 122
final energy: -24.8 eV per cell

a b c (Å): 6.047 6.047 7.123
angles (deg): 115.11 115.11 90.00
Fractional coordinates of all 8 atoms:
1 S 0.500 0.500 0.000
2 Cd 0.386 0.875 0.250
3 Cd 0.864 0.375 0.250
4 Cd 0.625 0.614 0.750
5 Cd 0.125 0.136 0.750
6 As 0.000 0.000 0.000
7 As 0.250 0.750 0.500
8 S 0.750 0.250 0.500



Entry from Alexandria via LeMat-Bulk: a geometry-optimized ZnCoAg2 structure (GGA-PBEsol).

Calculated values
V: 14.230 A^3/atom
space group: I4/mmm, No. 139
final energy: -15.0 eV per cell
energy of formation from the pure elements: 0.23 eV/atom

a b c (Å): 3.889 3.889 4.661
angles (deg): 114.65 114.65 90.00
Each line ends with the local moment (μB).
Fractional coordinates of all 4 atoms:
1 Zn 0.000 0.000 0.000  -0.02
2 Ag 0.250 0.750 0.500  0.00
3 Co 0.500 0.500 0.000  1.42
4 Ag 0.750 0.250 0.500  0.00



Entry from Alexandria via LeMat-Bulk: a geometry-optimized Rb3PdF6 structure (GGA-PBEsol).

Calculated values
ΔE_f (raw): -2196 meV/atom
V: 19.185 A^3/atom
space group: Fm-3m, No. 225
final energy: -42.6 eV per cell

a b c (Å): 6.474 6.474 6.474
angles (deg): 60.00 60.00 60.00
Each line ends with the local moment (μB).
Fractional coordinates of all 10 atoms:
1 F 0.780 0.220 0.780  0.05
2 F 0.220 0.220 0.780  0.05
3 F 0.780 0.780 0.220  0.05
4 F 0.780 0.220 0.220  0.05
5 F 0.220 0.780 0.780  0.05
6 Rb 0.500 0.500 0.500  0.01
7 F 0.220 0.780 0.220  0.05
8 Pd 0.000 0.000 0.000  0.64
9 Rb 0.250 0.250 0.250  0.00
10 Rb 0.750 0.750 0.750  0.00



Entry from Alexandria via LeMat-Bulk: a geometry-optimized CuTe2Pb structure (GGA-PBEsol).

Calculated values
ΔE_f (raw): -15 meV/atom
V: 26.750 A^3/atom
space group: P2/m, No. 10
final energy: -15.4 eV per cell

a b c (Å): 3.779 4.192 7.057
angles (deg): 106.83 90.00 90.00
Fractional coordinates of all 4 atoms:
1 Pb 0.500 0.500 0.000
2 Cu 0.500 0.000 0.500
3 Te 0.000 0.111 0.282
4 Te 0.000 0.889 0.718



Entry from Alexandria via LeMat-Bulk: a geometry-optimized Sr4Fe3MoO12 structure (GGA-PBEsol).

Calculated values
ΔE_f (raw): -2213 meV/atom
V: 11.276 A^3/atom
space group: Im-3m, No. 229
final energy: -153.3 eV per cell

a b c (Å): 6.642 6.642 6.642
angles (deg): 109.47 109.47 109.47
Each line ends with the local moment (μB).
Fractional coordinates of all 20 atoms:
1 Sr 0.500 0.000 0.000  0.01
2 O 0.500 0.250 0.750  0.14
3 O 0.249 0.249 0.000  0.03
4 O 0.750 0.500 0.250  0.14
5 O 0.250 0.750 0.500  0.14
6 O 0.500 0.750 0.250  0.14
7 Sr 0.500 0.500 0.500  0.01
8 O 0.751 0.000 0.751  0.03
9 Mo 0.000 0.000 0.000  -0.17
10 Fe 0.500 0.500 0.000  2.72
11 O 0.000 0.249 0.249  0.03
12 Sr 0.000 0.000 0.500  0.01
13 Sr 0.000 0.500 0.000  0.01
14 Fe 0.000 0.500 0.500  2.72
15 O 0.250 0.500 0.750  0.14
16 O 0.751 0.751 0.000  0.03
17 O 0.249 0.000 0.249  0.03
18 Fe 0.500 0.000 0.500  2.72
19 O 0.000 0.751 0.751  0.03
20 O 0.750 0.250 0.500  0.14



Entry from Alexandria via LeMat-Bulk: a geometry-optimized AlP2H18C6Cl3 structure (GGA-PBEsol).

Calculated values
V: 12.125 A^3/atom
space group: Pnma, No. 62
final energy: -601.3 eV per cell

a b c (Å): 10.053 10.649 13.591
angles (deg): 90.00 90.00 90.00
Fractional coordinates of all 120 atoms:
1 H 0.874 0.114 0.962
2 Al 0.719 0.250 0.521
3 H 0.424 0.030 0.131
4 H 0.424 0.470 0.131
5 H 0.576 0.970 0.869
6 H 0.126 0.886 0.038
7 H 0.976 0.472 0.878
8 H 0.419 0.666 0.006
9 Cl 0.582 0.250 0.393
10 H 0.626 0.886 0.462
11 Al 0.219 0.250 0.979
12 H 0.076 0.970 0.631
13 H 0.919 0.666 0.494
14 H 0.484 0.124 0.232
15 H 0.977 0.250 0.696
16 H 0.126 0.614 0.038
17 H 0.808 0.394 0.288
18 H 0.627 0.334 0.774
19 H 0.337 0.115 0.668
20 H 0.853 0.750 0.597
21 H 0.373 0.834 0.226
22 C 0.594 0.885 0.824
23 Cl 0.289 0.427 0.912
24 H 0.663 0.885 0.332
25 H 0.192 0.606 0.712
26 P 0.095 0.750 0.595
27 C 0.417 0.115 0.613
28 H 0.837 0.115 0.832
29 H 0.524 0.528 0.378
30 H 0.476 0.472 0.622
31 Cl 0.082 0.250 0.107
32 H 0.374 0.114 0.538
33 C 0.930 0.750 0.540
34 Cl 0.789 0.073 0.588
35 C 0.406 0.115 0.176
36 H 0.016 0.876 0.732
37 H 0.127 0.334 0.726
38 H 0.837 0.385 0.832
39 Cl 0.418 0.750 0.607
40 H 0.692 0.606 0.788
41 H 0.976 0.028 0.878
42 H 0.024 0.972 0.122
43 H 0.663 0.615 0.332
44 P 0.905 0.250 0.405
45 H 0.919 0.834 0.494
46 C 0.567 0.250 0.758
47 H 0.873 0.666 0.274
48 H 0.626 0.614 0.462
49 H 0.924 0.030 0.369
50 H 0.353 0.750 0.903
51 H 0.076 0.530 0.631
52 C 0.933 0.750 0.258
53 H 0.984 0.376 0.268
54 Cl 0.789 0.427 0.588
55 C 0.583 0.885 0.387
56 Cl 0.289 0.073 0.912
57 C 0.917 0.385 0.887
58 H 0.581 0.166 0.994
59 P 0.595 0.750 0.905
60 P 0.476 0.750 0.372
61 C 0.433 0.750 0.242
62 H 0.192 0.894 0.712
63 H 0.081 0.166 0.506
64 H 0.023 0.750 0.304
65 H 0.647 0.250 0.097
66 C 0.094 0.615 0.676
67 C 0.917 0.115 0.887
68 Cl 0.918 0.750 0.893
69 H 0.516 0.876 0.768
70 H 0.477 0.250 0.804
71 C 0.906 0.115 0.324
72 C 0.594 0.615 0.824
73 Al 0.281 0.750 0.479
74 H 0.127 0.166 0.726
75 Cl 0.711 0.573 0.088
76 C 0.570 0.250 0.040
77 H 0.524 0.972 0.378
78 C 0.906 0.385 0.324
79 H 0.874 0.386 0.962
80 H 0.337 0.385 0.668
81 H 0.163 0.885 0.168
82 H 0.016 0.624 0.732
83 H 0.374 0.386 0.538
84 C 0.070 0.250 0.460
85 H 0.147 0.250 0.403
86 Al 0.781 0.750 0.021
87 C 0.417 0.385 0.613
88 H 0.308 0.394 0.212
89 Cl 0.711 0.927 0.088
90 H 0.419 0.834 0.006
91 H 0.692 0.894 0.788
92 P 0.405 0.250 0.095
93 H 0.873 0.834 0.274
94 C 0.583 0.615 0.387
95 H 0.476 0.028 0.622
96 H 0.808 0.106 0.288
97 H 0.308 0.106 0.212
98 P 0.524 0.250 0.628
99 C 0.406 0.385 0.176
100 H 0.163 0.615 0.168
101 C 0.083 0.615 0.113
102 H 0.924 0.470 0.369
103 C 0.094 0.885 0.676
104 H 0.627 0.166 0.774
105 C 0.083 0.885 0.113
106 H 0.576 0.530 0.869
107 H 0.024 0.528 0.122
108 Cl 0.211 0.573 0.412
109 H 0.484 0.376 0.232
110 P 0.024 0.250 0.872
111 H 0.373 0.666 0.226
112 Cl 0.211 0.927 0.412
113 C 0.067 0.250 0.742
114 H 0.523 0.750 0.196
115 P 0.976 0.750 0.128
116 H 0.581 0.334 0.994
117 H 0.516 0.624 0.768
118 C 0.430 0.750 0.960
119 H 0.081 0.334 0.506
120 H 0.984 0.124 0.268



Entry from Alexandria via LeMat-Bulk: a geometry-optimized TaCrB3 structure (GGA-PBEsol).

Calculated values
V: 10.253 A^3/atom
space group: Pm-3m, No. 221
final energy: -40.6 eV per cell
energy of formation from the pure elements: 0.65 eV/atom

a b c (Å): 3.715 3.715 3.715
angles (deg): 90.00 90.00 90.00
Fractional coordinates of all 5 atoms:
1 Cr 0.000 0.000 0.000
2 B 0.000 0.000 0.500
3 B 0.500 0.000 0.000
4 Ta 0.500 0.500 0.500
5 B 0.000 0.500 0.000



Entry from Alexandria via LeMat-Bulk: a geometry-optimized SrLa2As structure (GGA-PBEsol).

Calculated values
V: 33.373 A^3/atom
space group: Cm, No. 8
final energy: -19.6 eV per cell
energy of formation from the pure elements: -0.50 eV/atom

a b c (Å): 3.960 6.337 6.338
angles (deg): 64.58 71.79 71.79
Fractional coordinates of all 4 atoms:
1 La 0.738 0.786 0.739
2 Sr 0.560 0.504 0.377
3 As 0.266 0.074 0.393
4 La 0.936 0.137 0.990



Entry from Alexandria via LeMat-Bulk: a geometry-optimized Sc2TaBr structure (GGA-PBEsol).

Calculated values
ΔE_f (raw): -302 meV/atom
V: 20.535 A^3/atom
space group: Cmmm, No. 65
E above lowest polymorph: 0 meV/atom
final energy: -28.8 eV per cell

a b c (Å): 3.158 3.158 8.399
angles (deg): 90.00 90.00 101.23
Fractional coordinates of all 4 atoms:
1 Sc 0.000 0.000 0.259
2 Sc 0.000 0.000 0.741
3 Ta 0.500 0.500 0.500
4 Br 0.500 0.500 0.000



Entry from Alexandria via LeMat-Bulk: a geometry-optimized Sc2HgSe structure (GGA-PBEsol).

Calculated values
ΔE_f (raw): -1056 meV/atom
V: 21.124 A^3/atom
space group: R-3m, No. 166
E above lowest polymorph: 0 meV/atom
final energy: -21.9 eV per cell

a b c (Å): 3.669 3.669 7.550
angles (deg): 75.94 75.94 60.00
Fractional coordinates of all 4 atoms:
1 Se 0.000 0.000 0.000
2 Sc 0.259 0.259 0.223
3 Hg 0.500 0.500 0.500
4 Sc 0.741 0.741 0.777



Entry from Alexandria via LeMat-Bulk: a geometry-optimized MgBi3Pb structure (GGA-PBEsol).

Calculated values
V: 39.610 A^3/atom
space group: Pm-3m, No. 221
final energy: -14.5 eV per cell
energy of formation from the pure elements: 0.81 eV/atom

a b c (Å): 5.829 5.829 5.829
angles (deg): 90.00 90.00 90.00
Fractional coordinates of all 5 atoms:
1 Bi 0.000 0.500 0.000
2 Pb 0.000 0.000 0.000
3 Bi 0.000 0.000 0.500
4 Mg 0.500 0.500 0.500
5 Bi 0.500 0.000 0.000



Number 1: total moment 0.835 μB per atom. Number 2: total moment 0.000 μB per atom. Number 3: total moment 0.345 μB per atom. Number 4: total moment 0.100 μB per atom. Number 5: total moment 0.000 μB per atom. Number 6: total moment 0.467 μB per atom. Number 7: total moment 0.000 μB per atom. Number 8: total moment 0.000 μB per atom. Number 9: total moment 0.001 μB per atom. Number 10: total moment 0.000 μB per atom. Number 11: total moment 0.000 μB per atom. Number 12: total moment 0.000 μB per atom.